K2SrP | PBE | relaxed

abc: 4.035 4.635 19.290
angles: 90.00 90.00 90.00
Space group Immm (No. 71)
Unique sites:
K 0.000 0.000 0.152 [4 per cell]
Sr 0.000 0.500 0.000 [2 per cell]
P 0.000 0.500 0.500 [2 per cell]

Summary:
Theoretical density   1.8 g cm⁻³
DFT formation energy   -1.5 eV/f.u.
Total magnetization   0.00 μB/f.u.

***

Nd12SnPd6 | PBE | relaxed

abc: 10.326 10.326 10.326
angles: 90.00 90.00 90.00
Space group Im-3 (No. 204)
Unique sites:
Nd 0.000 0.184 0.300 [24 per cell]
Sn 0.000 0.000 0.000 [2 per cell]
Pd 0.000 0.367 0.500 [12 per cell]

Summary:
Theoretical density   7.5 g cm⁻³
DFT formation energy   -10.8 eV/f.u.
Total magnetization   0.00 μB/f.u.

***

Na2Be2H7 | PBE | relaxed

abc: 5.038 9.601 4.862
angles: 90.00 104.38 90.00
Space group C2/m (No. 12)
Unique sites:
Na 0.000 0.177 0.000 [4 per cell]
Be 0.223 0.000 0.630 [4 per cell]
H 0.000 0.500 0.500 [2 per cell]
H 0.080 0.000 0.326 [4 per cell]
H 0.196 0.369 0.238 [8 per cell]

Summary:
Theoretical density   1.0 g cm⁻³
Total magnetization   0.00 μB/f.u.
Uncorrected energy   -66.57 eV for the cell shown

***

MgTi2NiPb | PBE | relaxed

abc: 4.647 4.647 4.774
angles: 90.00 90.00 90.00
Space group P4/mmm (No. 123)
Unique sites:
Mg 0.000 0.000 0.000 [1 per cell]
Ti 0.000 0.500 0.500 [2 per cell]
Ni 0.000 0.000 0.500 [1 per cell]
Pb 0.500 0.500 0.000 [1 per cell]

Summary:
Theoretical density   6.2 g cm⁻³
DFT formation energy   0.7 eV/f.u.
Total magnetization   0.00 μB/f.u.